The following is a GGA-PBE calculation of crystalline NaPaSn2O8 at its relaxed geometry, from Alexandria via LeMat-Bulk.

abc: 6.2791 6.2791 6.2791
angles: 107.97 107.97 112.52
Closest atoms and distances in Å follow each position.
Fractional coordinates of all 12 atoms:
Na 0.0000 0.0000 0.0000  4 O 2.34
Pa 0.2500 0.7500 0.5000  4 O 2.18
Sn 0.7500 0.2500 0.5000  4 O 1.99
Sn 0.5000 0.5000 0.0000  4 O 1.97
O 0.3585 0.0450 0.3134  1 Sn 1.99
O 0.3354 0.5517 0.2163  1 Sn 1.97, 1 Pa 2.18
O 0.3354 0.1191 0.7837  1 Sn 1.97, 1 Pa 2.18
O 0.7316 0.0450 0.6866  1 Sn 1.99
O 0.8809 0.6646 0.2163  1 Sn 1.97, 1 Pa 2.18
O 0.9550 0.2684 0.3134  1 Sn 1.99
O 0.9550 0.6415 0.6866  1 Sn 1.99
O 0.4483 0.6646 0.7837  1 Sn 1.97, 1 Pa 2.18

As for the density of states at the Fermi level: 9.811 states/eV/cell. As for the space-group type: I-4m2 (119). The crystal system is tetragonal. The calculation puts the total DFT energy (no corrections) at -6.539 eV/atom.